(1)
Here is a relaxed Ba2LiNi crystal from Alexandria. Energies are from GGA-PBE. Values from VASP.

Quantum ESPRESSO input file:
```
&SYSTEM
  ibrav = 0, nat = 4, ntyp = 3
/
ATOMIC_SPECIES
Ni 58.69 Ni.upf
Ba 137.33 Ba.upf
Li 6.94 Li.upf
ATOMIC_POSITIONS angstrom
Ni 3.289 0.015 1.690
Ba 1.538 2.907 1.690
Ba 0.000 0.000 0.000
Li 4.827 2.922 0.000
CELL_PARAMETERS angstrom
6.578 0.030 0.000
3.077 5.814 0.000
-4.827 -2.922 3.381
```

Space group ... I-4m2
Volume ... 32.243 Å³ per atom
Energy of formation from the pure elements ... 322 meV per atom

(2)
Here is a relaxed YTi2Ga8 crystal from Alexandria. Energies are from GGA-PBE. Values from VASP.

Quantum ESPRESSO input file:
```
&SYSTEM
  ibrav = 0, nat = 11, ntyp = 3
/
ATOMIC_SPECIES
Ga 69.72 Ga.upf
Ti 47.87 Ti.upf
Y 88.91 Y.upf
ATOMIC_POSITIONS angstrom
Ga 1.401 -0.261 3.769
Ga 4.033 0.969 2.260
Ga 0.283 -3.311 3.357
Ga 0.249 -1.634 1.198
Ga 1.896 0.245 0.716
Ga 4.067 -0.707 4.419
Ga 2.420 -2.587 4.901
Ga 2.915 -2.080 1.848
Ti 4.451 -0.415 0.083
Ti 1.141 -4.193 1.052
Y -0.638 1.134 2.240
CELL_PARAMETERS angstrom
-1.276 2.267 4.481
-1.025 -6.666 1.687
6.618 2.058 -0.551
```

Space group ... C2/m
Volume ... 19.273 Å³ per atom
Energy of formation from the pure elements ... -182 meV per atom

(3)
Here is a relaxed Dy3Ho2Mg crystal from Alexandria. Energies are from GGA-PBE. Values from VASP.

Quantum ESPRESSO input file:
```
&SYSTEM
  ibrav = 0, nat = 12, ntyp = 3
/
ATOMIC_SPECIES
Dy 162.50 Dy.upf
Mg 24.30 Mg.upf
Ho 164.93 Ho.upf
ATOMIC_POSITIONS angstrom
Dy -0.872 -0.419 2.844
Dy 2.636 1.751 5.540
Dy 4.379 4.839 5.469
Dy 0.879 4.632 -0.106
Dy 0.872 2.668 2.774
Dy 6.136 1.544 -0.035
Mg 4.392 4.632 -0.106
Mg 2.623 1.544 -0.035
Ho 4.370 2.726 2.713
Ho 2.645 -0.361 2.783
Ho 0.863 4.781 5.530
Ho -0.863 1.693 5.600
CELL_PARAMETERS angstrom
7.015 0.000 0.000
0.000 6.175 -0.141
-3.507 -1.756 8.454
```

Space group ... C2/c
Volume ... 30.374 Å³ per atom
Distance to the lowest polymorph of the same formula ... 16 meV per atom
Energy of formation from the pure elements ... 24 meV per atom

(4)
Here is a relaxed YSiPt crystal from Alexandria. Energies are from GGA-PBE. Values from VASP.

Quantum ESPRESSO input file:
```
&SYSTEM
  ibrav = 0, nat = 3, ntyp = 3
/
ATOMIC_SPECIES
Si 28.09 Si.upf
Pt 195.08 Pt.upf
Y 88.91 Y.upf
ATOMIC_POSITIONS angstrom
Si 4.630 2.673 1.890
Pt 0.000 0.000 0.000
Y 6.945 4.010 2.835
CELL_PARAMETERS angstrom
4.630 0.000 0.000
2.315 4.010 0.000
2.315 1.337 3.780
```

Space group ... F-43m
Volume ... 23.391 Å³ per atom
Raw total energy ... -18.39 eV per cell

(5)
Here is a relaxed PmGa3Ag crystal from Alexandria. Energies are from GGA-PBE. Values from VASP.

Quantum ESPRESSO input file:
```
&SYSTEM
  ibrav = 0, nat = 10, ntyp = 3
/
ATOMIC_SPECIES
Pm 145.00 Pm.upf
Ga 69.72 Ga.upf
Ag 107.87 Ag.upf
ATOMIC_POSITIONS angstrom
Pm 2.114 0.000 4.179
Pm 2.114 2.109 7.885
Ga 0.000 0.000 1.250
Ga 0.000 2.109 10.814
Ga 2.114 2.109 1.248
Ga 0.000 0.000 6.669
Ga 2.114 0.000 10.816
Ga 0.000 2.109 5.395
Ag 0.000 0.000 9.219
Ag 0.000 2.109 2.845
CELL_PARAMETERS angstrom
4.229 0.000 0.000
0.000 4.218 0.000
0.000 -2.109 12.064
```

Space group ... Cmmm
Volume ... 21.515 Å³ per atom
Distance to the lowest polymorph of the same formula ... 90 meV per atom
Energy of formation from the pure elements ... -344 meV per atom

(6)
Here is a relaxed Nd2DyIr crystal from Alexandria. Energies are from GGA-PBE. Values from VASP.

Quantum ESPRESSO input file:
```
&SYSTEM
  ibrav = 0, nat = 16, ntyp = 3
/
ATOMIC_SPECIES
Nd 144.24 Nd.upf
Ir 192.22 Ir.upf
Dy 162.50 Dy.upf
ATOMIC_POSITIONS angstrom
Nd -0.843 -6.868 6.173
Nd -2.059 -2.132 3.956
Nd -5.249 -4.863 8.208
Nd -0.735 -2.381 0.583
Nd -2.167 -6.619 9.547
Nd -3.925 -5.113 4.834
Nd 1.023 -3.887 5.295
Nd 2.347 -4.136 1.922
Ir 1.493 -6.331 3.705
Ir -4.395 -2.669 6.425
Ir 0.758 -1.934 3.091
Ir -3.661 -7.066 7.038
Dy -1.912 -3.442 7.456
Dy -4.280 -4.037 1.270
Dy 1.378 -4.963 8.860
Dy -0.990 -5.558 2.673
CELL_PARAMETERS angstrom
-4.190 -4.717 -1.296
4.877 -4.958 2.280
-3.589 0.676 9.144
```

Space group ... Pnma
Volume ... 29.014 Å³ per atom
Distance to the lowest polymorph of the same formula ... 0 meV per atom
Energy of formation from the pure elements ... -482 meV per atom

(7)
Here is a relaxed Ac2GdMg crystal from Alexandria. Energies are from GGA-PBE. Values from VASP.

Quantum ESPRESSO input file:
```
&SYSTEM
  ibrav = 0, nat = 4, ntyp = 3
/
ATOMIC_SPECIES
Mg 24.30 Mg.upf
Gd 157.25 Gd.upf
Ac 227.00 Ac.upf
ATOMIC_POSITIONS angstrom
Mg 5.909 3.412 2.412
Gd 0.000 0.000 0.000
Ac 2.955 1.706 1.206
Ac 8.864 5.118 3.619
CELL_PARAMETERS angstrom
5.909 0.000 0.000
2.955 5.118 0.000
2.955 1.706 4.825
```

Space group ... Fm-3m
Volume ... 36.479 Å³ per atom
Distance to the lowest polymorph of the same formula ... 43 meV per atom
Energy of formation from the pure elements ... 32 meV per atom

(8)
Here is a relaxed Ho2Mn2GaCo5 crystal from Alexandria. Energies are from GGA-PBE. Values from VASP.

Quantum ESPRESSO input file:
```
&SYSTEM
  ibrav = 0, nat = 20, ntyp = 4
/
ATOMIC_SPECIES
Mn 54.94 Mn.upf
Co 58.93 Co.upf
Ho 164.93 Ho.upf
Ga 69.72 Ga.upf
ATOMIC_POSITIONS angstrom
Mn 0.000 1.062 5.590
Mn 0.000 7.993 3.465
Mn 0.000 3.465 1.062
Mn 0.000 5.590 7.993
Co 1.787 7.240 8.548
Co 1.787 4.528 0.000
Co 1.787 4.021 2.712
Co 1.787 5.034 6.343
Co 1.787 1.816 0.507
Co 1.787 6.343 4.021
Co 1.787 0.507 7.240
Co 1.787 0.000 4.528
Co 1.787 2.712 5.034
Co 1.787 8.548 1.816
Ho 0.000 1.641 2.887
Ho 0.000 7.414 6.168
Ho 0.000 6.168 1.641
Ho 0.000 2.887 7.414
Ga 0.000 4.528 4.528
Ga 0.000 0.000 0.000
CELL_PARAMETERS angstrom
3.574 0.000 0.000
0.000 9.055 0.000
0.000 0.000 9.055
```

Space group ... P4/mbm
Volume ... 14.655 Å³ per atom
Energy of formation from the pure elements ... -18 meV per atom